KAsPd | GGA-PBE | relaxed

**D(E_F)**: 3.308 states/eV/cell
**Space group**: P-6m2
**Calculated total energy**: -12.0 eV/cell

Unit cell a=5.2745 b=4.2157 c=4.2157 alpha=120.00 beta=90.00 gamma=90.00
Last column: nearest neighbours and their distance in Å.
Element x y z (fractional)
K 0.6666 0.3333 0.6667  6 Pd 3.59, 6 As 3.59
Pd 0.1667 0.6667 0.3333  3 As 2.43
As 0.1667 0.0000 0.0000  3 Pd 2.43